# 1
# MnPd2Au

A relaxed MnPd2Au crystal (GGA-PBE, Alexandria via LeMat-Bulk).

abc: 2.792 4.664 10.582
angles: 90.00 90.00 90.00
Space group Immm (No. 71)
Asymmetric unit:
Mn 0.000 0.000 0.000
Pd 0.000 0.000 0.237
Au 0.000 0.000 0.500

Computed properties:
size of the total moment	1.082	μB/atom
V	17.2	Å³/atom

---

# 2
# MnPd5Au

A relaxed MnPd5Au crystal (GGA-PBE, Alexandria via LeMat-Bulk).

abc: 4.959 13.599 6.947
angles: 90.00 103.26 90.00
Space group C2/c (No. 15)
Asymmetric unit:
Mn 0.000 0.016 0.250
Pd 0.000 0.347 0.250
Pd 0.102 0.151 0.955
Pd 0.200 0.321 0.650
Au 0.000 0.500 0.000

Computed properties:
size of the total moment	0.696	μB/atom
ΔE to the lowest computed polymorph	13	meV/atom
V	16.3	Å³/atom

---

Number 1: E_tot -5.5145 eV per atom, E_form 194 meV/atom. Number 2: E_tot -5.4969 eV per atom, E_form -10 meV/atom.